1.
DFT (PBE) results for a relaxed structure of Sm2DyEr2.

Summary:
- DFT formation energy: 0.0142 eV/atom
- Space group: No. 15
- E_tot: -4.619 eV/atom

Cell and atoms, written as POSCAR:
```
Sm2DyEr2
1.0
0.397 0.898 6.205
-5.156 -5.202 4.262
0.710 -8.522 4.367
Sm Dy Er
4 2 4
direct
0.784 0.750 0.850
0.385 0.750 0.650
0.216 0.250 0.150
0.615 0.250 0.350
0.583 0.750 0.250
0.417 0.250 0.750
0.819 0.245 0.952
0.015 0.255 0.548
0.181 0.755 0.048
0.985 0.745 0.452
```

2.
DFT (PBE) results for a relaxed structure of Sm4Dy3Er8.

Summary:
- DFT formation energy: 0.1282 eV/atom
- Space group: No. 166
- E_tot: -4.484 eV/atom

Cell and atoms, written as POSCAR:
```
Sm4Dy3Er8
1.0
6.084 0.000 3.281
2.157 5.689 3.281
-2.540 -1.753 11.991
Sm Dy Er
4 3 8
direct
0.000 0.000 0.000
0.336 0.336 0.991
0.500 0.500 0.500
0.664 0.664 0.009
0.500 0.000 0.500
0.000 0.000 0.500
0.000 0.500 0.500
0.245 0.245 0.265
0.248 0.750 0.252
0.750 0.750 0.252
0.750 0.248 0.252
0.755 0.755 0.735
0.752 0.250 0.748
0.250 0.250 0.748
0.250 0.752 0.748
```

3.
DFT (PBE) results for a relaxed structure of Sm4DyEr7.

Summary:
- DFT formation energy: 0.2802 eV/atom
- Space group: No. 12
- E_tot: -4.338 eV/atom

Cell and atoms, written as POSCAR:
```
Sm4DyEr7
1.0
-2.099 -1.578 -5.236
-10.109 -5.140 2.325
-3.861 4.522 -3.091
Sm Dy Er
4 1 7
direct
0.640 0.223 0.498
0.360 0.777 0.502
0.773 0.669 0.784
0.227 0.331 0.216
0.000 0.000 0.000
0.788 0.924 0.500
0.212 0.076 0.500
0.067 0.686 0.179
0.933 0.314 0.821
0.368 0.496 0.769
0.500 0.000 0.000
0.632 0.504 0.231
```

4.
DFT (PBE) results for a relaxed structure of Sm4Dy3Er4.

Summary:
- DFT formation energy: 0.0643 eV/atom
- Space group: No. 71
- E_tot: -4.566 eV/atom

Cell and atoms, written as POSCAR:
```
Sm4Dy3Er4
1.0
3.505 0.000 0.002
0.000 5.626 0.004
1.744 2.798 17.776
Sm Dy Er
4 3 4
direct
0.591 0.091 0.819
0.268 0.267 0.465
0.732 0.733 0.535
0.409 0.909 0.181
0.137 0.636 0.728
0.863 0.364 0.272
0.000 0.000 0.000
0.546 0.546 0.909
0.454 0.454 0.091
0.319 0.820 0.361
0.681 0.180 0.639
```

Q: Number 3 is which compound?
A: Sm4DyEr7

Q: Among the records above, which one has the highest E_tot?
A: Sm4DyEr7

Q: Number 2 is which compound?
A: Sm4Dy3Er8